[1]
LaCr2Mo: optimized geometry, PBE.

Theoretical density, Mg/m³: 7.5
DOS at the Fermi energy, states/eV/f.u.: 4.17
Relative energy among the computed polymorphs, eV/atom: 0.329
Calculated total energy, eV/atom: -7.994

Lattice parameters (Å, degrees): 9.215 9.215 9.215 19.39 19.39 19.39
Element x y z (fractional)
La 0.000 0.000 0.000
Cr 0.234 0.234 0.234
Cr 0.766 0.766 0.766
Mo 0.500 0.500 0.500

[2]
Cs3RbFe: optimized geometry, PBE.

Theoretical density, Mg/m³: 1.4
DOS at the Fermi energy, states/eV/f.u.: 16.55
Calculated total energy, eV/atom: -1.360

Lattice parameters (Å, degrees): 8.586 8.586 8.586 90.00 90.00 90.00
Element x y z (fractional)
Cs 0.000 0.000 0.500
Cs 0.000 0.500 0.000
Cs 0.500 0.000 0.000
Rb 0.000 0.000 0.000
Fe 0.500 0.500 0.500

[3]
MgUGa: optimized geometry, PBE.

Theoretical density, Mg/m³: 8.0
DOS at the Fermi energy, states/eV/f.u.: 5.09
Calculated total energy, eV/atom: -5.061

Lattice parameters (Å, degrees): 7.467 6.859 4.847 77.15 63.59 39.27
Element x y z (fractional)
Mg 0.177 0.823 0.177
Mg 0.823 0.177 0.823
U 0.250 0.250 0.250
U 0.750 0.750 0.750
Ga 0.394 0.394 0.606
Ga 0.606 0.606 0.394

[4]
YMn2Ru: optimized geometry, PBE.

Theoretical density, Mg/m³: 7.5
DOS at the Fermi energy, states/eV/f.u.: 5.05
Relative energy among the computed polymorphs, eV/atom: 0.185
Calculated total energy, eV/atom: -8.247

Lattice parameters (Å, degrees): 3.995 5.725 5.725 30.63 90.00 90.00
Element x y z (fractional)
Y 0.000 0.000 0.000
Mn 0.000 0.747 0.747
Mn 0.500 0.646 0.646
Ru 0.500 0.334 0.334

[5]
VIn: optimized geometry, PBE.

Theoretical density, Mg/m³: 7.7
DOS at the Fermi energy, states/eV/f.u.: 2.05
Calculated total energy, eV/atom: -5.587

Lattice parameters (Å, degrees): 2.977 2.977 4.664 90.00 90.00 120.00
Element x y z (fractional)
V 0.000 0.000 0.000
In 0.333 0.667 0.500

[6]
NdYCu: optimized geometry, PBE.

Theoretical density, Mg/m³: 6.2
DOS at the Fermi energy, states/eV/f.u.: 3.18
Relative energy among the computed polymorphs, eV/atom: 0.018
Calculated total energy, eV/atom: -5.213

Lattice parameters (Å, degrees): 6.789 6.789 6.789 149.75 149.75 43.31
Element x y z (fractional)
Nd 0.000 0.000 0.000
Y 0.723 0.723 0.000
Cu 0.350 0.350 0.000

[7]
LiErScHg: optimized geometry, PBE.

Theoretical density, Mg/m³: 7.7
DOS at the Fermi energy, states/eV/f.u.: 4.01
Calculated total energy, eV/atom: -3.483

Lattice parameters (Å, degrees): 5.049 5.049 5.049 60.00 60.00 60.00
Element x y z (fractional)
Li 0.000 0.000 0.000
Er 0.750 0.750 0.750
Sc 0.250 0.250 0.250
Hg 0.500 0.500 0.500

[8]
CsHgAsSe2: optimized geometry, PBE.

Theoretical density, Mg/m³: 5.7
DOS at the Fermi energy, states/eV/f.u.: 4.78
Raw formation energy, meV per atom: 133.3
Relative energy among the computed polymorphs, eV/atom: 0.192
Calculated total energy, eV/atom: -2.422

Lattice parameters (Å, degrees): 5.552 5.552 5.318 90.00 90.00 90.00
Element x y z (fractional)
Cs 0.000 0.000 0.000
Hg 0.500 0.500 0.500
As 0.500 0.500 0.000
Se 0.000 0.500 0.500
Se 0.500 0.000 0.500

[9]
EuLuInCu: optimized geometry, PBE.

Theoretical density, Mg/m³: 8.4
DOS at the Fermi energy, states/eV/f.u.: 8.69
Calculated total energy, eV/atom: -5.633

Lattice parameters (Å, degrees): 5.213 5.213 5.213 60.00 60.00 60.00
Element x y z (fractional)
Eu 0.000 0.000 0.000
Lu 0.500 0.500 0.500
In 0.750 0.750 0.750
Cu 0.250 0.250 0.250

[10]
ReNi2Ge: optimized geometry, PBE.

Theoretical density, Mg/m³: 11.1
DOS at the Fermi energy, states/eV/f.u.: 5.77
Calculated total energy, eV/atom: -6.675

Lattice parameters (Å, degrees): 9.020 9.020 9.020 156.99 156.99 32.77
Element x y z (fractional)
Re 0.000 0.000 0.000
Re 0.750 0.250 0.500
Ni 0.128 0.625 0.003
Ni 0.375 0.378 0.503
Ni 0.622 0.125 0.997
Ni 0.875 0.872 0.497
Ge 0.250 0.750 0.500
Ge 0.500 0.500 0.000

[11]
Ba2TlCo: optimized geometry, PBE.

Theoretical density, Mg/m³: 5.9
DOS at the Fermi energy, states/eV/f.u.: 6.80
Calculated total energy, eV/atom: -3.030

Lattice parameters (Å, degrees): 4.280 4.280 9.763 102.75 102.75 60.24
Element x y z (fractional)
Ba 0.233 0.233 0.201
Ba 0.767 0.767 0.799
Tl 0.000 0.000 0.500
Co 0.500 0.500 0.000

[12]
NdDy3Pd3: optimized geometry, PBE.

Theoretical density, Mg/m³: 9.0
DOS at the Fermi energy, states/eV/f.u.: 5.68
Calculated total energy, eV/atom: -5.545

Lattice parameters (Å, degrees): 7.033 7.033 7.133 91.02 91.02 97.31
Element x y z (fractional)
Nd 0.233 0.233 0.376
Nd 0.767 0.767 0.624
Dy 0.155 0.155 0.866
Dy 0.254 0.746 0.500
Dy 0.322 0.678 0.000
Dy 0.678 0.322 0.000
Dy 0.746 0.254 0.500
Dy 0.845 0.845 0.134
Pd 0.008 0.503 0.777
Pd 0.438 0.438 0.697
Pd 0.497 0.992 0.223
Pd 0.503 0.008 0.777
Pd 0.562 0.562 0.303
Pd 0.992 0.497 0.223

[13]
Sc5Al4Rh: optimized geometry, PBE.

Theoretical density, Mg/m³: 3.8
DOS at the Fermi energy, states/eV/f.u.: 4.28
Calculated total energy, eV/atom: -5.966

Lattice parameters (Å, degrees): 3.357 3.357 16.674 90.00 90.00 90.00
Element x y z (fractional)
Sc 0.000 0.000 0.000
Sc 0.000 0.000 0.205
Sc 0.000 0.000 0.409
Sc 0.000 0.000 0.591
Sc 0.000 0.000 0.795
Al 0.500 0.500 0.102
Al 0.500 0.500 0.307
Al 0.500 0.500 0.693
Al 0.500 0.500 0.898
Rh 0.500 0.500 0.500

[14]
TaGeTeI2: optimized geometry, PBE.

Theoretical density, Mg/m³: 6.3
DOS at the Fermi energy, states/eV/f.u.: 5.03
Raw formation energy, meV per atom: 556.2
Relative energy among the computed polymorphs, eV/atom: 0.000
Calculated total energy, eV/atom: -3.986

Lattice parameters (Å, degrees): 5.553 5.553 5.444 90.00 90.00 90.00
Element x y z (fractional)
Ta 0.000 0.000 0.000
Ge 0.500 0.500 0.500
Te 0.000 0.000 0.500
I 0.000 0.500 0.000
I 0.500 0.000 0.000

[15]
Ce2Pu2Ge: optimized geometry, PBE.

Theoretical density, Mg/m³: 11.1
DOS at the Fermi energy, states/eV/f.u.: 13.14
Relative energy among the computed polymorphs, eV/atom: 0.000
Calculated total energy, eV/atom: -9.243

Lattice parameters (Å, degrees): 5.877 5.877 11.809 103.85 103.85 39.85
Element x y z (fractional)
Ce 0.022 0.022 0.206
Ce 0.205 0.205 0.604
Ce 0.795 0.795 0.396
Ce 0.978 0.978 0.794
Pu 0.346 0.346 0.966
Pu 0.457 0.457 0.621
Pu 0.543 0.543 0.379
Pu 0.654 0.654 0.034
Ge 0.303 0.303 0.207
Ge 0.697 0.697 0.793

[16]
Pr2NdSn3Rh4: optimized geometry, PBE.

Theoretical density, Mg/m³: 8.6
DOS at the Fermi energy, states/eV/f.u.: 7.43
Calculated total energy, eV/atom: -6.281

Lattice parameters (Å, degrees): 4.467 4.467 11.514 90.00 90.00 90.00
Element x y z (fractional)
Pr 0.000 0.500 0.228
Pr 0.500 0.000 0.772
Nd 0.000 0.000 0.500
Sn 0.000 0.500 0.876
Sn 0.500 0.000 0.124
Sn 0.500 0.500 0.500
Rh 0.000 0.000 0.000
Rh 0.000 0.500 0.650
Rh 0.500 0.000 0.350
Rh 0.500 0.500 0.000

[17]
LaErPb2: optimized geometry, PBE.

Theoretical density, Mg/m³: 10.0
DOS at the Fermi energy, states/eV/f.u.: 3.93
Calculated total energy, eV/atom: -4.696

Lattice parameters (Å, degrees): 4.105 4.105 7.095 90.00 90.00 90.00
Element x y z (fractional)
La 0.000 0.000 0.000
Er 0.000 0.000 0.500
Pb 0.500 0.500 0.272
Pb 0.500 0.500 0.728

[18]
AlAu: optimized geometry, PBE.

Theoretical density, Mg/m³: 10.3
DOS at the Fermi energy, states/eV/f.u.: 0.61
Calculated total energy, eV/atom: -3.761

Lattice parameters (Å, degrees): 6.292 6.292 6.292 154.06 138.50 49.59
Element x y z (fractional)
Al 0.349 0.099 0.250
Al 0.651 0.901 0.750
Au 0.123 0.373 0.750
Au 0.877 0.627 0.250

[19]
La5Cd4Rh2: optimized geometry, PBE.

Theoretical density, Mg/m³: 7.5
DOS at the Fermi energy, states/eV/f.u.: 9.37
Calculated total energy, eV/atom: -4.439

Lattice parameters (Å, degrees): 8.330 18.591 3.872 90.00 90.00 90.00
Element x y z (fractional)
La 0.000 0.000 0.000
La 0.114 0.411 0.000
La 0.244 0.219 0.000
La 0.256 0.719 0.000
La 0.386 0.911 0.000
La 0.500 0.500 0.000
La 0.614 0.089 0.000
La 0.744 0.281 0.000
La 0.756 0.781 0.000
La 0.886 0.589 0.000
Cd 0.069 0.850 0.500
Cd 0.210 0.566 0.500
Cd 0.290 0.066 0.500
Cd 0.431 0.350 0.500
Cd 0.569 0.650 0.500
Cd 0.710 0.934 0.500
Cd 0.790 0.434 0.500
Cd 0.931 0.150 0.500
Rh 0.022 0.305 0.500
Rh 0.478 0.805 0.500
Rh 0.522 0.195 0.500
Rh 0.978 0.695 0.500

[20]
YbReB4: optimized geometry, PBE.

Theoretical density, Mg/m³: 10.9
DOS at the Fermi energy, states/eV/f.u.: 8.40
Calculated total energy, eV/atom: -7.285

Lattice parameters (Å, degrees): 5.989 11.580 3.549 90.00 90.00 90.00
Element x y z (fractional)
Yb 0.127 0.150 0.000
Yb 0.373 0.650 0.000
Yb 0.627 0.350 0.000
Yb 0.873 0.850 0.000
Re 0.132 0.415 0.000
Re 0.368 0.915 0.000
Re 0.632 0.085 0.000
Re 0.868 0.585 0.000
B 0.024 0.693 0.500
B 0.115 0.548 0.500
B 0.134 0.968 0.500
B 0.213 0.814 0.500
B 0.287 0.314 0.500
B 0.366 0.468 0.500
B 0.385 0.048 0.500
B 0.476 0.193 0.500
B 0.524 0.807 0.500
B 0.615 0.952 0.500
B 0.634 0.532 0.500
B 0.713 0.686 0.500
B 0.787 0.186 0.500
B 0.866 0.032 0.500
B 0.885 0.452 0.500
B 0.976 0.307 0.500